# Tl3CrBi (PBE, optimized geometry)
data_Tl3CrBi
_cell_length_a 5.395
_cell_length_b 5.395
_cell_length_c 5.395
_cell_angle_alpha 90.00
_cell_angle_beta 90.00
_cell_angle_gamma 90.00
_space_group_name_H-M_alt 'P 1'
_space_group_IT_number 1
loop_
_space_group_symop_operation_xyz
'x,y,z'
loop_
_atom_site_label
_atom_site_type_symbol
_atom_site_fract_x
_atom_site_fract_y
_atom_site_fract_z
Tl1 Tl 0.500 0.000 0.000
Tl2 Tl 0.000 0.500 0.000
Tl3 Tl 0.000 0.000 0.500
Bi1 Bi 0.500 0.500 0.500
Cr1 Cr 0.000 0.000 0.000
# E_form: 0.492 eV/atom
# E above lowest polymorph: 0.0 meV/atom
# total energy: -3.629 eV per atom